ScCuSi2Cl: optimized geometry, PBE-GGA.

Cell lengths 4.3053, 5.5935, 4.3053 Å; angles 90.00, 90.00, 90.00 degrees
Fractional coordinates of all 5 atoms:
Cu 0.0000 0.0000 0.0000
Cl 0.0000 0.5000 0.0000
Si 0.0000 0.0000 0.5000
Si 0.5000 0.0000 0.0000
Sc 0.5000 0.5000 0.5000

Computed properties:
Space-group type ... P4/mmm

=====

SrScCu2Cl8: optimized geometry, PBE-GGA.

Cell lengths 6.3363, 6.3363, 8.5462 Å; angles 90.00, 90.00, 120.00 degrees
Fractional coordinates of all 12 atoms:
Cl 0.3004 0.3152 0.3185
Cl 0.6848 0.9852 0.3185
Cl 0.9852 0.3004 0.6815
Cl 0.6996 0.6848 0.6815
Cl 0.0148 0.6996 0.3185
Cl 0.3333 0.6667 0.9944
Cl 0.3152 0.0148 0.6815
Cl 0.6667 0.3333 0.0056
Cu 0.6667 0.3333 0.2666
Cu 0.3333 0.6667 0.7334
Sr 0.0000 0.0000 0.0000
Sc 0.0000 0.0000 0.5000

Computed properties:
Space-group type ... P-3

=====

ScTiCuCl2: optimized geometry, PBE-GGA.

Cell lengths 4.6331, 5.4408, 4.6331 Å; angles 90.00, 90.00, 90.00 degrees
Fractional coordinates of all 5 atoms:
Cu 0.0000 0.0000 0.0000
Sc 0.0000 0.5000 0.0000
Cl 0.0000 0.0000 0.5000
Cl 0.5000 0.0000 0.0000
Ti 0.5000 0.5000 0.5000

Computed properties:
Space-group type ... P4/mmm

=====

ScTl2CuCl6: optimized geometry, PBE-GGA.

Cell lengths 7.5824, 10.3272, 7.9424 Å; angles 90.00, 80.56, 90.00 degrees
Fractional coordinates of all 20 atoms:
Sc 0.0000 0.5000 0.0000
Sc 0.5000 0.0000 0.5000
Cl 0.1599 0.4524 0.6855
Cl 0.8887 0.7117 0.9241
Cl 0.6113 0.2117 0.5759
Cl 0.8401 0.5476 0.3145
Cl 0.7232 0.3962 0.9366
Cl 0.3401 0.9524 0.8145
Cl 0.3887 0.7883 0.4241
Cl 0.2232 0.1038 0.4366
Cl 0.2768 0.6038 0.0634
Cl 0.7768 0.8962 0.5634
Cl 0.6599 0.0476 0.1855
Cl 0.1113 0.2883 0.0759
Cu 0.0000 0.5000 0.5000
Cu 0.5000 0.0000 0.0000
Tl 0.5725 0.6370 0.7301
Tl 0.0725 0.8630 0.2301
Tl 0.9275 0.1370 0.7699
Tl 0.4275 0.3630 0.2699

Computed properties:
Space-group type ... P2_1/c

=====

Cu2SeCl: optimized geometry, PBE-GGA.

Cell lengths 3.4998, 7.0088, 6.3623 Å; angles 94.07, 89.95, 90.08 degrees
Fractional coordinates of all 8 atoms:
Cl 0.4699 0.9330 0.1988
Cl 0.4697 0.4327 0.2654
Cu 0.4697 0.4112 0.9001
Cu 0.9699 0.9016 0.9445
Cu 0.9695 0.5304 0.5001
Cu 0.4688 0.0190 0.5505
Se 0.4700 0.7043 0.7198
Se 0.9696 0.1978 0.7436

Computed properties:
Space-group type ... P1
Relative energy among the computed polymorphs ... 4.4 kJ/mol of atoms

=====

CuSeCl: optimized geometry, PBE-GGA.

Cell lengths 7.3537, 7.3537, 7.3537 Å; angles 156.43, 156.43, 33.57 degrees
Fractional coordinates of all 3 atoms:
Se 0.7138 0.7138 0.0000
Cu 0.3405 0.3405 0.0000
Cl 0.9457 0.9457 0.0000

Computed properties:
Space-group type ... I4mm

=====

Cu2SeCl: optimized geometry, PBE-GGA.

Cell lengths 6.8537, 5.4496, 3.5862 Å; angles 61.06, 104.26, 135.23 degrees
Fractional coordinates of all 4 atoms:
Cl 0.5000 0.5000 0.0000
Cu 0.0000 0.0000 0.0000
Cu 0.5000 0.0000 0.5000
Se 0.0000 0.5000 0.5000

Computed properties:
Space-group type ... C2/m
Relative energy among the computed polymorphs ... 23.1 kJ/mol of atoms

=====

Cu3SeCl: optimized geometry, PBE-GGA.

Cell lengths 4.4775, 4.4775, 4.4775 Å; angles 90.00, 90.00, 90.00 degrees
Fractional coordinates of all 5 atoms:
Cu 0.5000 0.0000 0.0000
Cu 0.0000 0.5000 0.0000
Cu 0.0000 0.0000 0.5000
Se 0.5000 0.5000 0.5000
Cl 0.0000 0.0000 0.0000

Computed properties:
Space-group type ... Pm-3m
Relative energy among the computed polymorphs ... 36.4 kJ/mol of atoms

=====

Cu2SeCl: optimized geometry, PBE-GGA.

Cell lengths 5.4610, 5.4610, 5.4610 Å; angles 144.72, 90.62, 99.95 degrees
Fractional coordinates of all 4 atoms:
Cu 0.5018 0.5018 0.0000
Cu 0.9982 0.9982 0.0000
Se 0.7500 0.2500 0.5000
Cl 0.2500 0.7500 0.5000

Computed properties:
Space-group type ... Immm
Relative energy among the computed polymorphs ... 19.4 kJ/mol of atoms

=====

Cu2SeCl: optimized geometry, PBE-GGA.

Cell lengths 4.2902, 4.2902, 6.2892 Å; angles 80.60, 80.60, 48.08 degrees
Fractional coordinates of all 4 atoms:
Se 0.4932 0.4932 0.6523
Cl 0.1909 0.1909 0.1743
Cu 0.7747 0.7747 0.7565
Cu 0.0412 0.0412 0.9170

Computed properties:
Space-group type ... Cm
Relative energy among the computed polymorphs ... 9.8 kJ/mol of atoms

=====

Cu3SeCl2: optimized geometry, PBE-GGA.

Cell lengths 6.7628, 6.7628, 6.6100 Å; angles 99.47, 99.47, 119.75 degrees
Fractional coordinates of all 12 atoms:
Cl 0.2649 0.7585 0.0063
Cl 0.7585 0.2649 0.5063
Cl 0.4282 0.5904 0.5027
Cl 0.5904 0.4282 0.0027
Cu 0.8813 0.3790 0.8915
Cu 0.3790 0.8813 0.3915
Cu 0.7399 0.5674 0.3800
Cu 0.5674 0.7399 0.8800
Cu 0.0472 0.2107 0.3830
Cu 0.2107 0.0472 0.8830
Se 0.0963 0.9313 0.5077
Se 0.9313 0.0963 0.0077

Computed properties:
Space-group type ... Cc

=====

CuSeCl: optimized geometry, PBE-GGA.

Cell lengths 6.0612, 6.0612, 6.0612 Å; angles 147.08, 147.09, 47.24 degrees
Fractional coordinates of all 3 atoms:
Se 0.7771 0.7771 0.0000
Cl 0.0096 0.0096 0.0000
Cu 0.2132 0.2132 0.0000

Computed properties:
Space-group type ... I4mm

=====

Number 1: calculated total energy -4.381 eV/atom. Number 2: calculated total energy -3.995 eV/atom. Number 3: calculated total energy -3.991 eV/atom. Number 4: calculated total energy -3.959 eV/atom. Number 5: calculated total energy -3.596 eV/atom. Number 6: calculated total energy -3.028 eV/atom. Number 7: calculated total energy -3.403 eV/atom. Number 8: calculated total energy -3.063 eV/atom. Number 9: calculated total energy -3.441 eV/atom. Number 10: calculated total energy -3.541 eV/atom. Number 11: calculated total energy -3.550 eV/atom. Number 12: calculated total energy -3.164 eV/atom.